# 1
The following is a DFT calculation (PBE) of a relaxed structure of Sr2CeAs3Pd4.

* formation energy from the elements: -819 meV/atom
* space-group type: No. 115

Unit cell a=4.3619 b=4.3619 c=11.5689 alpha=90.00 beta=90.00 gamma=90.00
With the nearest neighbours (Å) after each atom.
Positions (direct):
Pd  0.5000  0.0000  0.6596  1 As 2.52
Pd  0.0000  0.5000  0.3404  1 As 2.52
Sr  0.5000  0.0000  0.2173  4 As 3.27, 8 Pd 3.33-3.40
Ce  0.5000  0.5000  0.5000  4 Pd 2.86, 4 As 3.08
Pd  0.0000  0.0000  0.0000  4 As 2.60
Pd  0.5000  0.5000  0.0000  4 As 2.60
Sr  0.0000  0.5000  0.7827  4 As 3.27, 8 Pd 3.33-3.40
As  0.5000  0.0000  0.8773  5 Pd 2.52-2.60
As  0.0000  0.5000  0.1227  5 Pd 2.52-2.60
As  0.0000  0.0000  0.5000  4 Pd 2.86, 4 Ce 3.08


# 2
The following is a DFT calculation (PBE) of a relaxed structure of CeYAs2Pd2.

* formation energy from the elements: -1140 meV/atom
* space-group type: No. 164

Unit cell a=4.3501 b=4.3501 c=7.6687 alpha=90.00 beta=90.00 gamma=120.00
With the nearest neighbours (Å) after each atom.
Positions (direct):
Ce  0.0000  0.0000  0.0000  6 As 3.15, 6 Pd 3.23
Y  0.0000  0.0000  0.5000  6 Pd 3.09, 6 As 3.17
As  0.6667  0.3333  0.7523  3 Pd 2.52
As  0.3333  0.6667  0.2477  3 Pd 2.52
Pd  0.6667  0.3333  0.2650  3 As 2.52
Pd  0.3333  0.6667  0.7350  3 As 2.52


# 3
The following is a DFT calculation (PBE) of a relaxed structure of Ce2ZrAs4Pd3.

* formation energy from the elements: -869 meV/atom
* space-group type: No. 115

Unit cell a=4.4337 b=4.4337 c=10.4879 alpha=90.00 beta=90.00 gamma=90.00
With the nearest neighbours (Å) after each atom.
Positions (direct):
As  0.0000  0.0000  0.0000  4 Pd 2.54
Pd  0.0000  0.0000  0.5000  4 As 2.69
As  0.5000  0.0000  0.6446  3 Pd 2.48-2.69, 2 Zr 2.69
As  0.5000  0.5000  0.0000  4 Pd 2.54
Ce  0.5000  0.0000  0.2217  8 As 3.21-3.43, 5 Pd 3.31-3.57
Pd  0.0000  0.5000  0.1192  5 As 2.48-2.54
Ce  0.0000  0.5000  0.7783  8 As 3.21-3.43, 5 Pd 3.31-3.57
As  0.0000  0.5000  0.3554  3 Pd 2.48-2.69, 2 Zr 2.69
Pd  0.5000  0.0000  0.8808  5 As 2.48-2.54
Zr  0.5000  0.5000  0.5000  4 As 2.69


# 4
The following is a DFT calculation (PBE) of a relaxed structure of Ce5Pm3As8.

* formation energy from the elements: -1467 meV/atom
* space-group type: No. 166

Unit cell a=8.4472 b=8.4472 c=8.4496 alpha=60.01 beta=60.01 gamma=60.00
With the nearest neighbours (Å) after each atom.
Positions (direct):
As  0.7477  0.2500  0.7523  4 Ce 2.97-2.99, 2 Pm 3.00
As  0.2500  0.2500  0.7523  4 Ce 2.97-2.99, 2 Pm 3.00
Ce  0.5000  0.5000  0.5000  6 As 2.99
As  0.2523  0.7500  0.2477  4 Ce 2.97-2.99, 2 Pm 3.00
Pm  0.0000  0.0000  0.5000  6 As 3.00
As  0.7486  0.7486  0.7542  3 Ce 2.97, 3 Pm 3.00
Ce  0.5000  0.0000  0.0000  6 As 2.97
Ce  0.0000  0.5000  0.0000  6 As 2.97
As  0.7500  0.7500  0.2477  4 Ce 2.97-2.99, 2 Pm 3.00
As  0.2500  0.7477  0.7523  4 Ce 2.97-2.99, 2 Pm 3.00
Pm  0.5000  0.0000  0.5000  6 As 3.00
As  0.7500  0.2523  0.2477  4 Ce 2.97-2.99, 2 Pm 3.00
Ce  0.0000  0.0000  0.0000  6 As 2.99
Pm  0.0000  0.5000  0.5000  6 As 3.00
Ce  0.5000  0.5000  0.0000  6 As 2.97
As  0.2514  0.2514  0.2458  3 Ce 2.97, 3 Pm 3.00


# 5
The following is a DFT calculation (PBE) of a relaxed structure of CePmAs.

* formation energy from the elements: -724 meV/atom
* space-group type: No. 216

Unit cell a=4.9652 b=4.9652 c=4.9652 alpha=60.00 beta=60.00 gamma=60.00
With the nearest neighbours (Å) after each atom.
Positions (direct):
Ce  0.0000  0.0000  0.0000  4 As 3.04
As  0.2500  0.2500  0.2500  4 Ce 3.04, 4 Pm 3.04
Pm  0.5000  0.5000  0.5000  4 As 3.04


# 6
The following is a DFT calculation (PBE) of a relaxed structure of CePmAs2.

* formation energy from the elements: -1318 meV/atom
* space-group type: No. 160

Unit cell a=4.1541 b=4.1541 c=7.6903 alpha=74.33 beta=74.33 gamma=60.00
With the nearest neighbours (Å) after each atom.
Positions (direct):
Pm  0.6696  0.6696  0.9912  6 As 2.96-3.05
As  0.0823  0.0823  0.7532  3 Pm 2.96, 3 Ce 3.00
As  0.2505  0.2505  0.2485  3 Pm 3.05, 3 Ce 3.05
Ce  0.4976  0.4976  0.5071  6 As 3.00-3.05


Across the entries above, uncorrected energy takes the values -5.22, -6.49, -6.33, -6.54, -5.84, -6.31 eV per atom, respectively.
Across the entries above, DOS at the Fermi energy takes the values 10.82, 7.27, 15.67, 28.11, 8.57, 6.30 states/eV/cell, respectively.
Across the entries above, total magnetization takes the values 0.0924, 0.1815, 0.2596, 0.2081, 0.4562, 0.2204 μB/atom, respectively.